# 1
Compound: NdHoHg4
Source: the Alexandria database
Functional: GGA-PBE
Structure: optimized geometry

N(E_F), states/eV per cell: 4.30
Energy relative to the lowest polymorph listed for this composition, meV/atom: 0
DFT formation energy, kcal/mol of atoms: -8.0
Mass density, Mg/m³: 11.901

Structure (POSCAR):
```
NdHoHg4
1.0
3.736 0.000 1.081
2.052 5.279 -0.096
-0.281 -1.443 7.971
Hg Ho Nd
4 1 1
Cartesian
2.283 -0.917 6.105
3.224 4.753 2.850
1.621 2.377 1.393
3.885 1.459 7.562
0.000 0.000 0.000
2.753 1.918 4.478
```



# 2
Compound: NdHo5Hg2
Source: the Alexandria database
Functional: GGA-PBE
Structure: optimized geometry

N(E_F), states/eV per cell: 8.45
DFT formation energy, kcal/mol of atoms: -3.9
Mass density, Mg/m³: 9.702

Structure (POSCAR):
```
NdHo5Hg2
1.0
-0.147 3.153 1.989
0.532 -2.663 7.760
7.867 1.319 1.990
Ho Hg Nd
5 2 1
Cartesian
4.597 2.412 3.514
1.312 0.629 6.098
6.939 1.180 5.641
4.199 -0.672 4.875
3.654 -0.603 8.225
6.273 1.313 8.881
1.978 0.497 2.858
0.000 0.000 0.000
```



# 3
Compound: Nd5HoHg4
Source: the Alexandria database
Functional: GGA-PBE
Structure: optimized geometry

N(E_F), states/eV per cell: 12.08
DFT formation energy, kcal/mol of atoms: -8.3
Mass density, Mg/m³: 9.548

Structure (POSCAR):
```
Nd5HoHg4
1.0
3.802 0.000 0.000
0.000 3.802 0.000
0.000 0.000 20.319
Hg Nd Ho
4 5 1
Cartesian
0.000 0.000 4.288
0.000 0.000 12.103
0.000 0.000 16.031
0.000 0.000 8.217
1.901 1.901 14.030
1.901 1.901 10.160
1.901 1.901 17.920
1.901 1.901 6.289
1.901 1.901 2.399
0.000 0.000 0.000
```



# 4
Compound: Nd5Ho4Hg
Source: the Alexandria database
Functional: GGA-PBE
Structure: optimized geometry

N(E_F), states/eV per cell: 14.16
DFT formation energy, kcal/mol of atoms: -1.7
Mass density, Mg/m³: 8.152

Structure (POSCAR):
```
Nd5Ho4Hg
1.0
3.645 0.000 0.000
0.000 3.645 0.000
0.000 0.000 24.243
Ho Nd Hg
4 5 1
Cartesian
0.000 0.000 14.628
0.000 0.000 9.615
0.000 0.000 4.614
0.000 0.000 19.629
1.823 1.823 22.156
1.823 1.823 17.127
1.823 1.823 12.121
1.823 1.823 7.116
1.823 1.823 2.087
0.000 0.000 0.000
```



# 5
Compound: Nd2HoHg3
Source: the Alexandria database
Functional: GGA-PBE
Structure: optimized geometry

N(E_F), states/eV per cell: 6.67
DFT formation energy, kcal/mol of atoms: -10.9
Mass density, Mg/m³: 10.687

Structure (POSCAR):
```
Nd2HoHg3
1.0
-0.256 2.079 -3.143
-3.451 1.135 1.032
4.603 8.953 5.548
Hg Nd Ho
3 2 1
Cartesian
1.599 3.111 1.928
0.000 0.000 0.000
3.004 5.843 3.621
1.962 9.030 3.544
-1.067 3.137 -0.107
0.448 6.084 1.719
```



# 6
Compound: Nd4HoHg
Source: the Alexandria database
Functional: GGA-PBE
Structure: optimized geometry

N(E_F), states/eV per cell: 16.47
Energy relative to the lowest polymorph listed for this composition, meV/atom: 94
DFT formation energy, kcal/mol of atoms: -1.2
Mass density, Mg/m³: 7.970

Structure (POSCAR):
```
Nd4HoHg
1.0
6.461 -0.734 0.000
-2.560 8.844 0.000
-1.951 -4.055 7.107
Nd Hg Ho
8 2 2
Cartesian
3.534 2.031 1.625
3.155 -1.211 2.688
-1.584 2.024 5.482
-1.205 5.266 4.419
-1.647 -1.657 5.482
3.598 5.712 1.625
0.075 0.844 2.688
1.875 3.211 4.419
0.335 4.239 7.084
1.615 -0.183 0.022
0.335 4.239 1.311
1.615 -0.183 5.795
```



# 7
Compound: NdHo3Hg2
Source: the Alexandria database
Functional: GGA-PBE
Structure: optimized geometry

N(E_F), states/eV per cell: 10.68
Energy relative to the lowest polymorph listed for this composition, meV/atom: 93
DFT formation energy, kcal/mol of atoms: -5.9
Mass density, Mg/m³: 10.016

Structure (POSCAR):
```
NdHo3Hg2
1.0
-5.167 -0.835 1.064
3.718 -8.480 -2.008
0.900 4.277 7.730
Ho Hg Nd
6 4 2
Cartesian
1.128 -5.546 1.122
-1.795 -2.203 2.960
1.246 -2.835 3.826
0.509 0.590 2.934
-1.676 0.508 5.665
-1.057 -5.628 3.852
1.269 -0.412 5.842
-1.795 3.045 7.080
1.247 -8.084 -0.293
-1.818 -4.627 0.945
-0.919 -3.010 6.581
0.370 -2.028 0.206
```



# 8
Compound: NdHo3Hg2
Source: the Alexandria database
Functional: GGA-PBE
Structure: optimized geometry

N(E_F), states/eV per cell: 6.12
Energy relative to the lowest polymorph listed for this composition, meV/atom: 0
DFT formation energy, kcal/mol of atoms: -8.0
Mass density, Mg/m³: 10.169

Structure (POSCAR):
```
NdHo3Hg2
1.0
5.103 0.000 0.000
0.000 7.169 0.000
0.000 0.000 9.286
Hg Ho Nd
4 6 2
Cartesian
2.552 1.741 1.348
0.000 5.425 3.248
2.552 5.325 7.938
0.000 1.841 6.038
0.000 7.056 0.533
0.000 2.391 2.972
2.552 4.784 1.591
2.552 1.199 7.695
0.000 3.471 8.752
0.000 5.975 6.314
2.552 0.112 4.111
2.552 3.696 5.175
```



# 9
Compound: Nd5HoHg3
Source: the Alexandria database
Functional: GGA-PBE
Structure: optimized geometry

N(E_F), states/eV per cell: 16.58
DFT formation energy, kcal/mol of atoms: -6.6
Mass density, Mg/m³: 9.256

Structure (POSCAR):
```
Nd5HoHg3
1.0
-2.747 5.485 3.431
-8.557 -2.477 -2.890
3.372 -3.357 8.066
Nd Hg Ho
10 6 2
Cartesian
1.554 -0.860 6.218
-5.954 -0.028 2.478
-0.604 -3.064 4.414
-6.373 -0.275 -1.063
-1.977 -0.321 6.130
-2.426 -0.586 2.594
-5.505 0.237 6.013
-9.486 0.510 2.389
-4.931 3.283 1.604
-4.580 -2.771 0.762
-7.822 2.446 0.627
-8.346 -0.624 5.114
-3.482 0.562 -0.086
0.415 0.275 3.493
-3.754 2.208 4.264
-4.178 -2.557 4.343
-1.374 2.743 1.716
0.000 0.000 0.000
```



# 10
Compound: NdHo2Hg8
Source: the Alexandria database
Functional: GGA-PBE
Structure: optimized geometry

N(E_F), states/eV per cell: 5.11
Energy relative to the lowest polymorph listed for this composition, meV/atom: 0
DFT formation energy, kcal/mol of atoms: -7.4
Mass density, Mg/m³: 12.595

Structure (POSCAR):
```
NdHo2Hg8
1.0
-2.438 4.309 0.058
-0.906 -0.610 7.182
8.104 1.760 -1.433
Ho Hg Nd
2 8 1
Cartesian
2.384 4.170 1.712
2.376 1.289 4.096
2.878 4.407 4.842
0.410 2.994 6.040
-0.219 -0.194 5.141
-0.286 2.641 3.088
1.882 1.052 0.966
5.046 2.818 2.720
4.979 5.653 0.667
4.350 2.465 -0.233
-1.219 2.154 0.029
```



# 11
Compound: NdHo2Hg6
Source: the Alexandria database
Functional: GGA-PBE
Structure: optimized geometry

N(E_F), states/eV per cell: 5.80
Energy relative to the lowest polymorph listed for this composition, meV/atom: 222
DFT formation energy, kcal/mol of atoms: -3.8
Mass density, Mg/m³: 10.531

Structure (POSCAR):
```
NdHo2Hg6
1.0
-3.039 -1.896 2.781
3.357 -1.989 2.313
0.558 12.174 5.212
Hg Ho Nd
6 2 1
Cartesian
2.269 7.443 7.554
1.804 0.801 2.517
-0.929 7.489 7.788
2.036 4.122 5.036
-1.162 4.168 5.270
-1.394 0.847 2.752
0.475 6.779 5.140
0.400 1.511 5.165
0.000 0.000 0.000
```



# 12
Compound: NdHo3Hg
Source: the Alexandria database
Functional: GGA-PBE
Structure: optimized geometry

N(E_F), states/eV per cell: 11.37
DFT formation energy, kcal/mol of atoms: -2.5
Mass density, Mg/m³: 9.068

Structure (POSCAR):
```
NdHo3Hg
1.0
-8.211 -2.755 -1.292
7.011 -0.402 -5.230
3.775 -2.815 4.804
Hg Nd Ho
2 2 6
Cartesian
0.910 -3.664 -2.529
1.665 -2.309 0.811
5.596 -1.199 -4.584
-3.020 -4.774 2.866
4.650 -3.574 0.875
-4.161 -2.954 0.122
-0.876 -4.199 0.121
-2.074 -2.398 -2.593
3.451 -1.774 -1.839
6.737 -3.018 -1.840
```



# 13
Compound: Nd3Ho4Hg
Source: the Alexandria database
Functional: GGA-PBE
Structure: optimized geometry

N(E_F), states/eV per cell: 9.49
DFT formation energy, kcal/mol of atoms: -2.5
Mass density, Mg/m³: 8.600

Structure (POSCAR):
```
Nd3Ho4Hg
1.0
-3.595 -0.009 0.363
-0.362 -0.158 -3.592
0.131 -19.106 0.829
Nd Hg Ho
3 1 4
Cartesian
-1.878 -14.706 -0.980
-1.913 -9.637 -1.200
-1.948 -4.567 -1.420
-1.978 -0.084 -1.614
0.013 -1.957 0.085
0.118 -17.150 0.744
0.048 -7.016 0.305
0.083 -12.090 0.525
```



# 14
Compound: NdHo6Hg
Source: the Alexandria database
Functional: GGA-PBE
Structure: optimized geometry

N(E_F), states/eV per cell: 9.14
DFT formation energy, kcal/mol of atoms: -0.1
Mass density, Mg/m³: 9.012

Structure (POSCAR):
```
NdHo6Hg
1.0
-4.606 -8.020 -0.791
0.860 -5.211 -6.656
1.383 -6.119 -0.452
Ho Nd Hg
6 1 1
Cartesian
-0.203 -12.636 -5.791
-1.685 -15.500 -7.305
1.233 -7.264 -3.299
-3.596 -12.087 -4.600
-0.679 -3.850 -0.593
-2.160 -6.714 -2.108
-1.182 -9.675 -3.949
0.000 0.000 0.000
```



# 15
Compound: NdHoHg6
Source: the Alexandria database
Functional: GGA-PBE
Structure: optimized geometry

N(E_F), states/eV per cell: 5.52
DFT formation energy, kcal/mol of atoms: -8.2
Mass density, Mg/m³: 12.731

Structure (POSCAR):
```
NdHoHg6
1.0
5.036 0.000 0.000
0.000 6.703 -0.181
0.000 -3.130 5.930
Hg Ho Nd
6 1 1
Cartesian
0.000 2.619 2.357
0.000 -0.792 2.397
2.518 4.286 3.289
0.000 1.073 5.398
2.518 2.521 0.449
2.518 5.924 0.303
0.000 -2.261 5.390
2.518 0.918 3.414
```



# 16
Compound: NdHo4Hg5
Source: the Alexandria database
Functional: GGA-PBE
Structure: optimized geometry

N(E_F), states/eV per cell: 9.29
DFT formation energy, kcal/mol of atoms: -11.0
Mass density, Mg/m³: 11.536

Structure (POSCAR):
```
NdHo4Hg5
1.0
3.723 0.000 0.000
0.000 3.723 0.000
0.000 0.000 18.768
Hg Ho Nd
5 4 1
Cartesian
1.861 1.861 16.699
1.861 1.861 2.069
1.861 1.861 13.077
1.861 1.861 9.384
1.861 1.861 5.691
0.000 0.000 7.542
0.000 0.000 11.226
0.000 0.000 3.845
0.000 0.000 14.924
0.000 0.000 0.000
```



# 17
Compound: Nd4HoHg2
Source: the Alexandria database
Functional: GGA-PBE
Structure: optimized geometry

N(E_F), states/eV per cell: 15.95
DFT formation energy, kcal/mol of atoms: -4.4
Mass density, Mg/m³: 8.798

Structure (POSCAR):
```
Nd4HoHg2
1.0
-3.825 6.930 4.549
-1.681 -3.284 8.825
6.795 2.017 -5.711
Nd Hg Ho
8 4 2
Cartesian
-1.658 5.584 3.525
-0.807 4.093 8.794
4.375 -0.282 1.853
3.504 5.126 -0.289
2.267 2.437 3.734
2.103 1.962 0.269
2.570 5.783 3.266
0.440 0.099 5.723
0.421 4.347 1.515
-0.030 3.512 5.670
-1.979 1.138 7.516
4.495 1.362 -1.544
-1.047 1.812 2.773
1.054 -0.703 2.358
```



# 18
Compound: NdHo2Hg8
Source: the Alexandria database
Functional: GGA-PBE
Structure: optimized geometry

N(E_F), states/eV per cell: 5.97
Energy relative to the lowest polymorph listed for this composition, meV/atom: 14
DFT formation energy, kcal/mol of atoms: -7.1
Mass density, Mg/m³: 12.386

Structure (POSCAR):
```
NdHo2Hg8
1.0
-2.258 -3.330 -3.127
6.653 -1.449 -3.261
-1.010 -2.914 7.984
Hg Ho Nd
8 2 1
Cartesian
2.221 -4.009 2.665
1.163 -3.685 -1.069
0.368 -1.656 1.497
3.016 -6.038 0.099
1.411 -7.262 2.562
-0.560 -3.408 4.033
1.973 -0.431 -0.965
3.944 -4.286 -2.436
3.790 -2.782 0.226
-0.405 -4.911 1.370
-1.129 -1.665 -1.564
```



# 19
Compound: NdHo6Hg2
Source: the Alexandria database
Functional: GGA-PBE
Structure: optimized geometry

N(E_F), states/eV per cell: 9.70
DFT formation energy, kcal/mol of atoms: -4.6
Mass density, Mg/m³: 9.669

Structure (POSCAR):
```
NdHo6Hg2
1.0
-2.963 -1.046 1.997
2.076 -4.715 4.081
2.427 5.548 9.975
Hg Ho Nd
2 6 1
Cartesian
-0.340 0.453 3.204
1.880 -0.666 12.850
-0.698 -2.379 4.658
-0.662 -2.396 8.173
-0.591 0.615 6.386
2.202 2.184 7.880
2.239 2.167 11.395
2.131 -0.827 9.667
0.000 0.000 0.000
```



# 20
Compound: Nd6Ho2Hg
Source: the Alexandria database
Functional: GGA-PBE
Structure: optimized geometry

N(E_F), states/eV per cell: 14.37
DFT formation energy, kcal/mol of atoms: 0.9
Mass density, Mg/m³: 7.645

Structure (POSCAR):
```
Nd6Ho2Hg
1.0
3.585 0.000 0.219
0.000 9.591 0.000
-0.545 -4.795 8.786
Nd Ho Hg
6 2 1
Cartesian
3.401 1.667 3.099
1.792 6.752 0.110
-0.361 3.128 5.906
1.792 2.839 0.110
3.401 7.923 3.099
-0.361 -3.128 5.906
1.594 4.795 3.249
1.446 0.000 5.756
0.000 0.000 0.000
```



no.,E (eV per cell)
1,-12.6
2,-29.6
3,-33.2
4,-43.2
5,-17.8
6,-48.5
7,-41.3
8,-42.4
9,-63.8
10,-19.9
11,-17.2
12,-38.7
13,-33.8
14,-32.6
15,-14.0
16,-29.4
17,-51.2
18,-19.7
19,-34.6
20,-37.7